Run 1
First-principles (PBE-GGA) data for crystalline Ac5Pr4Nd2 at its relaxed geometry, as listed in the Alexandria database.

Properties
density = 7.381 g cm⁻³
space group = P2/m
magnetization = 0.0 μB per formula unit

Cell: 9.4264 3.7340 12.7083 Å, 90.00 91.93 90.00°
Last column: nearest neighbours and their distance in Å.
Fractional coordinates of all 11 atoms:
Ac: 0.0000 0.0000 0.0000  2 Nd 3.59, 4 Ac 3.60-3.73, 4 Pr 3.93
Ac: 0.1976 0.0000 0.5267  4 Ac 3.73-3.76, 8 Pr 3.85-4.17
Ac: 0.2808 0.0000 0.8154  2 Nd 3.54-3.86, 4 Ac 3.60-3.73, 4 Pr 3.80-3.95
Ac: 0.7192 0.0000 0.1846  2 Nd 3.54-3.86, 4 Ac 3.60-3.73, 4 Pr 3.80-3.95
Ac: 0.8024 0.0000 0.4733  4 Ac 3.73-3.76, 8 Pr 3.85-4.17
Pr: 0.0754 0.5000 0.2678  3 Pr 3.73-3.78, 2 Nd 3.79, 8 Ac 3.92-4.17
Pr: 0.4629 0.5000 0.3560  2 Nd 3.69, 4 Pr 3.70-3.78, 6 Ac 3.80-3.95
Pr: 0.5371 0.5000 0.6440  2 Nd 3.69, 4 Pr 3.70-3.78, 6 Ac 3.80-3.95
Pr: 0.9246 0.5000 0.7322  3 Pr 3.73-3.78, 2 Nd 3.79, 8 Ac 3.92-4.17
Nd: 0.3522 0.0000 0.1165  3 Ac 3.54-3.86, 4 Pr 3.69-3.79, 2 Nd 3.73
Nd: 0.6478 0.0000 0.8835  3 Ac 3.54-3.86, 4 Pr 3.69-3.79, 2 Nd 3.73

Run 2
First-principles (PBE-GGA) data for crystalline Ac5Pr4Nd2 at its relaxed geometry, as listed in the Alexandria database.

Properties
density = 7.224 g cm⁻³
space group = Immm
magnetization = 0.0 μB per formula unit

Cell: 13.2128 13.2128 13.2128 Å, 163.57 135.46 47.78°
Last column: nearest neighbours and their distance in Å.
Fractional coordinates of all 11 atoms:
Ac: 0.0000 0.0000 0.0000  4 Pr 3.59, 2 Ac 3.78
Ac: 0.0571 0.3507 0.7065  3 Nd 3.62-3.97, 3 Pr 3.74-3.75, 2 Ac 3.78
Ac: 0.3558 0.6493 0.7065  3 Nd 3.62-3.97, 3 Pr 3.74-3.75, 2 Ac 3.78
Ac: 0.6442 0.3507 0.2935  3 Nd 3.62-3.97, 3 Pr 3.74-3.75, 2 Ac 3.78
Ac: 0.9429 0.6493 0.2935  3 Nd 3.62-3.97, 3 Pr 3.74-3.75, 2 Ac 3.78
Pr: 0.3044 0.5000 0.8044  7 Pr 3.52-3.92, 4 Ac 3.59-3.74
Pr: 0.4076 0.9076 0.5000  1 Nd 3.26, 4 Pr 3.52
Pr: 0.5924 0.0924 0.5000  1 Nd 3.26, 4 Pr 3.52
Pr: 0.6956 0.5000 0.1956  7 Pr 3.52-3.92, 4 Ac 3.59-3.74
Nd: 0.2725 0.7725 0.5000  1 Pr 3.26, 2 Ac 3.62
Nd: 0.7275 0.2275 0.5000  1 Pr 3.26, 2 Ac 3.62

Among the structures shown above, run 1 is the most stable, with the second-best lying 0.038 eV/atom higher.